This record from the Alexandria database describes an optimized crystal structure of Rb2Co2NiO4. The functional is PBE+U.

V ... 15.330 A^3/atom
Electronic total energy ... -43.649 eV/cell

Unit cell a=3.260 b=7.049 c=6.433 alpha=105.96 beta=90.00 gamma=103.37
Each line ends with the local moment (μB).
Fractional coordinates of all 9 atoms:
Rb (0.876, 0.751, 0.484)  0.01
Rb (0.124, 0.249, 0.516)  0.01
Co (0.331, 0.662, 0.003)  2.62
Co (0.669, 0.338, 0.997)  2.62
Ni (0.000, 0.000, 0.000)  1.74
O (0.780, 0.560, 0.828)  0.19
O (0.220, 0.440, 0.172)  0.19
O (0.472, 0.945, 0.184)  0.13
O (0.528, 0.055, 0.816)  0.13